(1)
Computed, not measured: TbHfPd4 after structural relaxation at the PBE level of DFT.

total DFT energy (no corrections): -158.96 eV for the cell shown
space group: Pnma, No. 62

Structure (POSCAR):
```
TbHfPd4
1.0
4.0697 0.0000 0.0000
0.0000 6.7787 0.0000
0.0000 0.0000 16.4580
Pd Tb Hf
16 4 4
direct
0.2500 0.4583 0.4415
0.7500 0.3644 0.3241
0.2500 0.9583 0.0585
0.7500 0.5417 0.5585
0.7500 0.8644 0.1759
0.2500 0.6356 0.6759
0.2500 0.2206 0.5887
0.2500 0.0630 0.3785
0.7500 0.9370 0.6215
0.2500 0.7206 0.9113
0.7500 0.7794 0.4113
0.7500 0.2794 0.0887
0.2500 0.5630 0.1215
0.7500 0.0417 0.9415
0.2500 0.1356 0.8241
0.7500 0.4370 0.8785
0.7500 0.3217 0.7102
0.7500 0.8217 0.7898
0.2500 0.1783 0.2102
0.2500 0.6783 0.2898
0.7500 0.6920 0.0247
0.2500 0.8080 0.5247
0.7500 0.1920 0.4753
0.2500 0.3080 0.9753
```


(2)
Computed, not measured: TbHfPd6 after structural relaxation at the PBE level of DFT.

total DFT energy (no corrections): -52.88 eV for the cell shown
space group: P4/mmm, No. 123

Structure (POSCAR):
```
TbHfPd6
1.0
4.0677 0.0000 0.0000
0.0000 4.0677 0.0000
0.0000 0.0000 8.1457
Pd Hf Tb
6 1 1
direct
0.0000 0.5000 0.7388
0.5000 0.5000 0.0000
0.5000 0.0000 0.2612
0.5000 0.0000 0.7388
0.0000 0.5000 0.2612
0.5000 0.5000 0.5000
0.0000 0.0000 0.5000
0.0000 0.0000 0.0000
```


(3)
Computed, not measured: Hf2TcPd after structural relaxation at the PBE level of DFT.

total DFT energy (no corrections): -37.93 eV for the cell shown
space group: Fm-3m, No. 225

Structure (POSCAR):
```
Hf2TcPd
1.0
4.6527 0.0000 0.0000
2.3263 4.0293 0.0000
2.3263 1.3431 3.7989
Pd Hf Tc
1 2 1
direct
0.2500 0.2500 0.2500
0.0000 0.0000 0.0000
0.5000 0.5000 0.5000
0.7500 0.7500 0.7500
```


(4)
Computed, not measured: Hf4Tc2Pd after structural relaxation at the PBE level of DFT.

total DFT energy (no corrections): -68.59 eV for the cell shown
space group: R-3m, No. 166

Structure (POSCAR):
```
Hf4Tc2Pd
1.0
4.3747 0.0000 1.3667
1.9738 3.9041 1.3667
-0.0764 -0.0470 7.9292
Tc Hf Pd
2 4 1
direct
0.2515 0.2515 0.2454
0.7485 0.7485 0.7546
0.8711 0.8711 0.3868
0.1289 0.1289 0.6132
0.3800 0.3800 0.8600
0.6200 0.6200 0.1400
0.0000 0.0000 0.0000
```


(5)
Computed, not measured: Hf5Tc4Pd after structural relaxation at the PBE level of DFT.

total DFT energy (no corrections): -102.16 eV for the cell shown
space group: P4/mmm, No. 123

Structure (POSCAR):
```
Hf5Tc4Pd
1.0
-2.7957 0.7209 1.5626
-0.4024 -3.1722 0.7436
8.3194 2.1962 13.8713
Hf Tc Pd
5 4 1
direct
0.5000 0.5000 0.5000
0.5000 0.5000 0.8933
0.5000 0.5000 0.1067
0.5000 0.5000 0.3013
0.5000 0.5000 0.6987
0.0000 0.0000 0.6001
0.0000 0.0000 0.3999
0.0000 0.0000 0.1977
0.0000 0.0000 0.8023
0.0000 0.0000 0.0000
```


(6)
Computed, not measured: Hf2TcPd after structural relaxation at the PBE level of DFT.

total DFT energy (no corrections): -34.07 eV for the cell shown
space group: Immm, No. 71

Structure (POSCAR):
```
Hf2TcPd
1.0
-5.7870 -1.2062 -0.1322
4.0929 -1.3059 -4.0626
5.5422 -1.2023 1.6734
Tc Pd Hf
1 1 2
direct
0.0000 0.0000 0.0000
0.0000 0.5000 0.5000
0.0000 0.7507 0.7507
0.0000 0.2493 0.2493
```


(7)
Computed, not measured: Hf2Tc2Pd after structural relaxation at the PBE level of DFT.

ΔE to the lowest computed polymorph: 0.0 kJ per mole of atoms
space group: P4/mbm, No. 127

Structure (POSCAR):
```
Hf2Tc2Pd
1.0
6.8938 0.0000 0.0000
0.0000 6.8938 0.0000
0.0000 0.0000 3.8156
Tc Hf Pd
4 4 2
direct
0.1228 0.3772 0.0000
0.6228 0.1228 0.0000
0.8772 0.6228 0.0000
0.3772 0.8772 0.0000
0.6799 0.8201 0.5000
0.1799 0.6799 0.5000
0.8201 0.3201 0.5000
0.3201 0.1799 0.5000
0.0000 0.0000 0.0000
0.5000 0.5000 0.0000
```


(8)
Computed, not measured: Hf2TcPd after structural relaxation at the PBE level of DFT.

total DFT energy (no corrections): -68.22 eV for the cell shown
space group: I-42d, No. 122

Structure (POSCAR):
```
Hf2TcPd
1.0
-1.4891 -1.0709 3.8489
3.4925 -2.3435 0.6992
5.0262 5.3399 5.7918
Hf Tc Pd
4 2 2
direct
0.3750 0.3807 0.7500
0.8750 0.8693 0.7500
0.6193 0.1250 0.2500
0.1307 0.6250 0.2500
0.2500 0.7500 0.5000
0.5000 0.5000 0.0000
0.0000 0.0000 0.0000
0.7500 0.2500 0.5000
```


(9)
Computed, not measured: HfTc2Pd after structural relaxation at the PBE level of DFT.

ΔE to the lowest computed polymorph: 0.0 kJ per mole of atoms
space group: Fm-3m, No. 225

Structure (POSCAR):
```
HfTc2Pd
1.0
0.3752 -4.3795 -1.0204
-2.4154 -3.0609 2.2715
-3.4111 -2.1433 -2.0331
Hf Tc Pd
1 2 1
direct
0.5000 0.5000 0.5000
0.7500 0.7500 0.7500
0.2500 0.2500 0.2500
0.0000 0.0000 0.0000
```


(10)
Computed, not measured: Hf4Tc3Pd after structural relaxation at the PBE level of DFT.

total DFT energy (no corrections): -161.84 eV for the cell shown
space group: P4/mmm, No. 123

Structure (POSCAR):
```
Hf4Tc3Pd
1.0
4.6284 0.0000 0.0000
0.0000 6.5391 0.0000
0.0000 0.0000 9.2569
Tc Pd Hf
6 2 8
direct
0.5000 0.0000 0.2500
0.0000 0.0000 0.0000
0.0000 0.0000 0.5000
0.5001 0.5000 0.7500
0.4999 0.5000 0.2500
0.5000 0.0000 0.7500
0.0000 0.5000 0.0000
0.0000 0.5000 0.5000
0.5000 0.2432 0.0000
0.0000 0.7568 0.7500
0.5000 0.2432 0.5000
0.5000 0.7568 0.0000
0.0000 0.2432 0.7500
0.0000 0.2432 0.2500
0.0000 0.7568 0.2500
0.5000 0.7568 0.5000
```


(11)
Computed, not measured: Hf2Tc2Pd after structural relaxation at the PBE level of DFT.

ΔE to the lowest computed polymorph: 20.8 kJ per mole of atoms
space group: P4/mbm, No. 127

Structure (POSCAR):
```
Hf2Tc2Pd
1.0
-6.6630 -1.2757 -2.9165
2.0603 -6.8855 -1.6951
-1.0831 -1.0459 2.9320
Hf Tc Pd
4 4 2
direct
0.6486 0.1486 0.0000
0.3514 0.8514 0.0000
0.1486 0.3514 0.0000
0.8514 0.6486 0.0000
0.6514 0.8486 0.5000
0.3486 0.1514 0.5000
0.8486 0.3486 0.5000
0.1514 0.6514 0.5000
0.5000 0.5000 0.0000
0.0000 0.0000 0.0000
```


(12)
Computed, not measured: HfTc3Pd after structural relaxation at the PBE level of DFT.

ΔE to the lowest computed polymorph: 19.1 kJ per mole of atoms
space group: Pm-3m, No. 221

Structure (POSCAR):
```
HfTc3Pd
1.0
4.6772 0.0000 0.0000
0.0000 4.6772 0.0000
0.0000 0.0000 4.6772
Tc Pd Hf
3 1 1
direct
0.5000 0.0000 0.0000
0.0000 0.5000 0.0000
0.0000 0.0000 0.5000
0.5000 0.5000 0.5000
0.0000 0.0000 0.0000
```


(13)
Computed, not measured: HfTc3Pd after structural relaxation at the PBE level of DFT.

ΔE to the lowest computed polymorph: 0.0 kJ per mole of atoms
space group: Pm-3m, No. 221

Structure (POSCAR):
```
HfTc3Pd
1.0
-2.6716 -3.8000 -0.4132
1.5738 -0.6342 -4.3439
3.4834 -2.6279 1.6457
Tc Hf Pd
3 1 1
direct
0.0000 0.5000 0.0000
0.5000 0.0000 0.0000
0.0000 0.0000 0.5000
0.5000 0.5000 0.5000
0.0000 0.0000 0.0000
```


(14)
Computed, not measured: HfTc2Pd after structural relaxation at the PBE level of DFT.

ΔE to the lowest computed polymorph: 12.9 kJ per mole of atoms
space group: I-42d, No. 122

Structure (POSCAR):
```
HfTc2Pd
1.0
3.7780 0.0000 0.0000
0.0000 3.7780 0.0000
1.8890 1.8890 9.9190
Pd Hf Tc
2 2 4
direct
0.2500 0.7500 0.5000
0.5000 0.5000 0.0000
0.0000 0.0000 0.0000
0.7500 0.2500 0.5000
0.3750 0.3332 0.7500
0.8750 0.9168 0.7500
0.6668 0.1250 0.2500
0.0832 0.6250 0.2500
```


(15)
Computed, not measured: HfTcPd3 after structural relaxation at the PBE level of DFT.

ΔE to the lowest computed polymorph: 0.0 kJ per mole of atoms
space group: Pm-3m, No. 221

Structure (POSCAR):
```
HfTcPd3
1.0
4.7265 0.0000 0.0000
0.0000 4.7265 0.0000
0.0000 0.0000 4.7265
Tc Pd Hf
1 3 1
direct
0.0000 0.0000 0.0000
0.0000 0.5000 0.0000
0.0000 0.0000 0.5000
0.5000 0.0000 0.0000
0.5000 0.5000 0.5000
```


(16)
Computed, not measured: Hf2Tc2Pd after structural relaxation at the PBE level of DFT.

ΔE to the lowest computed polymorph: 19.4 kJ per mole of atoms
space group: I4/mmm, No. 139

Structure (POSCAR):
```
Hf2Tc2Pd
1.0
3.4793 0.0000 0.0000
0.0000 3.4793 0.0000
1.7396 1.7396 7.8676
Tc Pd Hf
2 1 2
direct
0.2500 0.7500 0.5000
0.7500 0.2500 0.5000
0.0000 0.0000 0.0000
0.6015 0.6015 0.7969
0.3985 0.3985 0.2031
```


(17)
Computed, not measured: TmHfTcPd after structural relaxation at the PBE level of DFT.

total DFT energy (no corrections): -32.17 eV for the cell shown
space group: F-43m, No. 216

Structure (POSCAR):
```
TmHfTcPd
1.0
4.7266 0.0000 0.0000
2.3633 4.0934 0.0000
2.3633 1.3645 3.8593
Tm Tc Hf Pd
1 1 1 1
direct
0.0000 0.0000 0.0000
0.2500 0.2500 0.2500
0.5000 0.5000 0.5000
0.7500 0.7500 0.7500
```


(18)
Computed, not measured: HfVTcPd after structural relaxation at the PBE level of DFT.

total DFT energy (no corrections): -35.89 eV for the cell shown
space group: F-43m, No. 216

Structure (POSCAR):
```
HfVTcPd
1.0
4.5050 0.0000 0.0000
2.2525 3.9014 0.0000
2.2525 1.3005 3.6783
V Pd Hf Tc
1 1 1 1
direct
0.2500 0.2500 0.2500
0.5000 0.5000 0.5000
0.7500 0.7500 0.7500
0.0000 0.0000 0.0000
```


(19)
Computed, not measured: HfV2TcPd after structural relaxation at the PBE level of DFT.

total DFT energy (no corrections): -37.62 eV for the cell shown
space group: P4/mmm, No. 123

Structure (POSCAR):
```
HfV2TcPd
1.0
4.5119 0.0000 0.0000
0.0000 4.9246 0.0000
0.0000 0.0000 4.5119
V Hf Tc Pd
2 1 1 1
direct
0.0000 0.0000 0.5000
0.5000 0.0000 0.0000
0.5000 0.5000 0.5000
0.0000 0.5000 0.0000
0.0000 0.0000 0.0000
```


(20)
Computed, not measured: YHfTcPd after structural relaxation at the PBE level of DFT.

total DFT energy (no corrections): -33.83 eV for the cell shown
space group: F-43m, No. 216

Structure (POSCAR):
```
YHfTcPd
1.0
4.7650 0.0000 0.0000
2.3825 4.1266 0.0000
2.3825 1.3755 3.8906
Y Hf Pd Tc
1 1 1 1
direct
0.7500 0.7500 0.7500
0.2500 0.2500 0.2500
0.5000 0.5000 0.5000
0.0000 0.0000 0.0000
```


(21)
Computed, not measured: HfTePd after structural relaxation at the PBE level of DFT.

uncorrected formation energy: -0.723 eV per atom
ΔE to the lowest computed polymorph: 0.0 kJ per mole of atoms
space group: P4/nmm, No. 129

Structure (POSCAR):
```
HfTePd
1.0
-1.0727 -2.2050 -2.7351
-1.3619 -2.3751 2.4490
-8.9032 4.7539 -0.3407
Pd Te Hf
2 2 2
direct
0.0000 0.5000 0.4396
0.5000 0.0000 0.5604
0.5000 0.0000 0.8423
0.0000 0.5000 0.1577
0.5000 0.0000 0.2985
0.0000 0.5000 0.7015
```


(22)
Computed, not measured: HfTePd after structural relaxation at the PBE level of DFT.

uncorrected formation energy: -0.582 eV per atom
ΔE to the lowest computed polymorph: 13.6 kJ per mole of atoms
space group: P-1, No. 2

Structure (POSCAR):
```
HfTePd
1.0
-2.2787 -0.0697 -2.9263
1.4055 -5.5549 -4.6488
-2.1167 -4.9808 1.8200
Hf Pd Te
2 2 2
direct
0.2962 0.2754 0.8609
0.7038 0.7246 0.1391
0.0015 0.0006 0.2324
0.9985 0.9994 0.7676
0.5175 0.6511 0.6749
0.4825 0.3489 0.3251
```


(23)
Computed, not measured: HfTe3Pd after structural relaxation at the PBE level of DFT.

uncorrected formation energy: -0.525 eV per atom
ΔE to the lowest computed polymorph: 0.0 kJ per mole of atoms
space group: Ama2, No. 40

Structure (POSCAR):
```
HfTe3Pd
1.0
-2.2974 2.8720 1.1308
-2.1175 -3.7208 5.1482
10.0082 6.3053 4.3195
Hf Te Pd
2 6 2
direct
0.2500 0.1169 0.6648
0.7500 0.4521 0.3352
0.7500 0.2633 0.5302
0.2500 0.1363 0.2542
0.7500 0.5445 0.1260
0.2500 0.7331 0.4698
0.7500 0.8821 0.7458
0.2500 0.4185 0.8740
0.7500 0.4766 0.7417
0.2500 0.7348 0.2583
```


(24)
Computed, not measured: HfTePd after structural relaxation at the PBE level of DFT.

uncorrected formation energy: -0.654 eV per atom
ΔE to the lowest computed polymorph: 6.7 kJ per mole of atoms
space group: C2/m, No. 12

Structure (POSCAR):
```
HfTePd
1.0
10.5991 0.0000 0.0295
0.0000 3.7046 0.0000
-2.7802 0.0000 8.0673
Pd Te Hf
4 4 4
direct
0.5446 0.5000 0.1633
0.4554 0.0000 0.3367
0.5446 0.0000 0.6633
0.4554 0.5000 0.8367
0.1788 0.5000 0.7345
0.8212 0.5000 0.2655
0.8212 0.0000 0.7655
0.1788 0.0000 0.2345
0.6595 0.0000 0.0036
0.6595 0.5000 0.5036
0.3405 0.5000 0.4964
0.3405 0.0000 0.9964
```


(25)
Computed, not measured: HfTe4Pd after structural relaxation at the PBE level of DFT.

uncorrected formation energy: -0.473 eV per atom
ΔE to the lowest computed polymorph: 0.0 kJ per mole of atoms
space group: P2/m, No. 10

Structure (POSCAR):
```
HfTe4Pd
1.0
4.0335 0.0000 0.0000
0.0000 6.7335 -0.1160
0.0000 0.0497 6.4641
Hf Te Pd
1 4 1
direct
0.5000 0.5000 0.0000
0.5000 0.1476 0.2426
0.0000 0.3296 0.7294
0.5000 0.8524 0.7574
0.0000 0.6704 0.2706
0.0000 0.0000 0.0000
```